[1]
Compound: Pr5Dy4In4
Source: Alexandria
Functional: PBE
Structure: relaxed

Cell lengths 5.1149, 9.2908, 9.2908 Å; angles 85.65, 74.02, 74.02 degrees
Atoms (fractional coordinates):
In (0.7613, 0.3389, 0.1385)
In (0.1002, 0.1385, 0.6611)
In (0.8998, 0.8615, 0.3389)
In (0.2387, 0.6611, 0.8615)
Dy (0.6042, 0.3016, 0.4901)
Dy (0.0942, 0.5099, 0.3016)
Dy (0.9058, 0.4901, 0.6984)
Dy (0.3958, 0.6984, 0.5099)
Pr (0.0000, 0.0000, 0.0000)
Pr (0.3993, 0.2939, 0.9074)
Pr (0.3068, 0.0926, 0.2939)
Pr (0.6932, 0.9074, 0.7061)
Pr (0.6007, 0.7061, 0.0926)

Results
Magnetization, μB per cell: 0.0
Space group: I4/m
E_tot, eV per atom: -4.402
ΔE_f, kJ/mol of formula units: -383

---

[2]
Compound: Pr8DyIn6
Source: Alexandria
Functional: PBE
Structure: relaxed

Cell lengths 9.2832, 9.2832, 8.5725 Å; angles 57.22, 57.22, 60.00 degrees
Atoms (fractional coordinates):
In (0.3796, 0.0527, 0.8401)
In (0.2724, 0.6204, 0.1599)
In (0.6204, 0.9473, 0.1599)
In (0.0527, 0.7276, 0.8401)
In (0.9473, 0.2724, 0.1599)
In (0.7276, 0.3796, 0.8401)
Pr (0.1155, 0.4515, 0.6521)
Pr (0.6656, 0.6656, 0.0033)
Pr (0.7809, 0.1155, 0.6521)
Pr (0.3344, 0.3344, 0.9967)
Pr (0.2191, 0.8845, 0.3479)
Pr (0.8845, 0.5485, 0.3479)
Pr (0.4515, 0.7809, 0.6521)
Pr (0.5485, 0.2191, 0.3479)
Dy (0.0000, 0.0000, 0.0000)

Results
Magnetization, μB per cell: 0.0
Space group: R-3
E_tot, eV per atom: -4.200
ΔE_f, kJ/mol of formula units: -360

---

[3]
Compound: Pr6DyIn5
Source: Alexandria
Functional: PBE
Structure: relaxed

Cell lengths 5.1023, 9.1943, 9.3306 Å; angles 119.52, 105.87, 90.00 degrees
Atoms (fractional coordinates):
Pr (0.1708, 0.9103, 0.3417)
Pr (0.5000, 0.7340, 0.0000)
Pr (0.8291, 0.5686, 0.6583)
Pr (0.8292, 0.0897, 0.6583)
Pr (0.5000, 0.2660, 0.0000)
Pr (0.1709, 0.4314, 0.3417)
In (0.3278, 0.3278, 0.6556)
In (0.6722, 0.6722, 0.3444)
In (0.0000, 0.5000, 0.0000)
In (0.3474, 0.8474, 0.6948)
In (0.6526, 0.1526, 0.3052)
Dy (0.0000, 0.0000, 0.0000)

Results
Magnetization, μB per cell: 0.0
Space group: Immm
E_tot, eV per atom: -4.306
ΔE_f, kJ/mol of formula units: -454

---

[4]
Compound: Pr6Dy2In
Source: Alexandria
Functional: PBE
Structure: relaxed

Cell lengths 6.4270, 11.5408, 11.5408 Å; angles 47.71, 106.20, 106.20 degrees
Atoms (fractional coordinates):
Pr (0.4385, 0.0067, 0.1515)
Pr (0.9385, 0.1515, 0.0067)
Pr (0.9183, 0.9189, 0.4183)
Pr (0.2827, 0.4926, 0.3497)
Pr (0.4183, 0.4183, 0.9189)
Pr (0.0615, 0.8485, 0.9933)
Pr (0.5817, 0.5817, 0.0811)
Pr (0.5615, 0.9933, 0.8485)
Pr (0.0817, 0.0811, 0.5817)
Pr (0.7827, 0.3497, 0.4926)
Pr (0.7173, 0.5074, 0.6503)
Pr (0.2173, 0.6503, 0.5074)
In (0.7500, 0.7510, 0.2490)
In (0.2500, 0.2490, 0.7510)
Dy (0.0792, 0.6728, 0.8269)
Dy (0.9208, 0.3272, 0.1731)
Dy (0.4208, 0.1731, 0.3272)
Dy (0.5792, 0.8269, 0.6728)

Results
Magnetization, μB per cell: 0.0
Space group: C2/c
Polymorph energy (0 for the lowest one), eV per formula unit: 0.16
E_tot, eV per atom: -4.561
ΔE_f, kJ/mol of formula units: -41

---

[5]
Compound: Pr3Dy8In
Source: Alexandria
Functional: PBE
Structure: relaxed

Cell lengths 8.3435, 8.3435, 8.3435 Å; angles 94.97, 117.18, 117.18 degrees
Atoms (fractional coordinates):
Dy (0.2516, 0.3764, 0.3764)
Dy (0.0000, 0.6236, 0.8752)
Dy (0.7484, 0.1248, 0.1248)
Dy (0.0000, 0.2405, 0.7406)
Dy (0.5001, 0.7595, 0.7595)
Dy (0.0000, 0.7406, 0.2405)
Dy (0.0000, 0.8752, 0.6236)
Dy (0.4999, 0.2594, 0.2594)
Pr (0.5000, 0.7500, 0.2500)
Pr (0.5000, 0.2500, 0.7500)
Pr (0.0000, 0.5000, 0.5000)
In (0.0000, 0.0000, 0.0000)

Results
Magnetization, μB per cell: 0.0
Space group: I-42m
E_tot, eV per atom: -4.005
ΔE_f, kJ/mol of formula units: 563

---

[6]
Compound: Pr2Dy5In3
Source: Alexandria
Functional: PBE
Structure: relaxed

Cell lengths 6.6838, 10.4464, 10.4464 Å; angles 92.96, 71.34, 71.34 degrees
Atoms (fractional coordinates):
In (0.3658, 0.4888, 0.7796)
In (0.8658, 0.7796, 0.4888)
In (0.1342, 0.2204, 0.5112)
In (0.6342, 0.5112, 0.2204)
In (0.2500, 0.0000, 0.0000)
In (0.7500, 0.0000, 0.0000)
Pr (0.3539, 0.8516, 0.4406)
Pr (0.1461, 0.5594, 0.1484)
Pr (0.8539, 0.4406, 0.8516)
Pr (0.6461, 0.1484, 0.5594)
Dy (0.5087, 0.2413, 0.2413)
Dy (0.9913, 0.7587, 0.7587)
Dy (0.2500, 0.5000, 0.5000)
Dy (0.7500, 0.5000, 0.5000)
Dy (0.4913, 0.7587, 0.7587)
Dy (0.5778, 0.7625, 0.0820)
Dy (0.0778, 0.0820, 0.7625)
Dy (0.0087, 0.2413, 0.2413)
Dy (0.9222, 0.9180, 0.2375)
Dy (0.4222, 0.2375, 0.9180)

Results
Magnetization, μB per cell: 0.0
Space group: Ibam
E_tot, eV per atom: -4.173
ΔE_f, kJ/mol of formula units: -92

---

[7]
Compound: Pr2DyIn
Source: Alexandria
Functional: PBE
Structure: relaxed

Cell lengths 5.0316, 4.9397, 4.9397 Å; angles 90.00, 90.00, 90.00 degrees
Atoms (fractional coordinates):
Pr (0.0000, 0.0000, 0.5000)
Pr (0.0000, 0.5000, 0.0000)
Dy (0.5000, 0.0000, 0.0000)
In (0.5000, 0.5000, 0.5000)

Results
Magnetization, μB per cell: 0.0
Space group: P4/mmm
Polymorph energy (0 for the lowest one), eV per formula unit: 0.00
E_tot, eV per atom: -4.492
ΔE_f, kJ/mol of formula units: -103

---

[8]
Compound: Pr3Dy4In2
Source: Alexandria
Functional: PBE
Structure: relaxed

Cell lengths 6.5399, 9.4267, 9.4267 Å; angles 92.06, 86.22, 86.22 degrees
Atoms (fractional coordinates):
Pr (0.0927, 0.9567, 0.8199)
Pr (0.5927, 0.8199, 0.9567)
Pr (0.9073, 0.0433, 0.1801)
Pr (0.4073, 0.1801, 0.0433)
Pr (0.7500, 0.4669, 0.5331)
Pr (0.2500, 0.5331, 0.4669)
Dy (0.0844, 0.6774, 0.1071)
Dy (0.5844, 0.1071, 0.6774)
Dy (0.9107, 0.8252, 0.4792)
Dy (0.9156, 0.3226, 0.8929)
Dy (0.0893, 0.1748, 0.5208)
Dy (0.5893, 0.5208, 0.1748)
Dy (0.4156, 0.8929, 0.3226)
Dy (0.4107, 0.4792, 0.8252)
In (0.9620, 0.6323, 0.7800)
In (0.5380, 0.2200, 0.3677)
In (0.0380, 0.3677, 0.2200)
In (0.4620, 0.7800, 0.6323)

Results
Magnetization, μB per cell: 0.0
Space group: C2/c
E_tot, eV per atom: -4.361
ΔE_f, kJ/mol of formula units: -99

---

[9]
Compound: Pr2DyIn
Source: Alexandria
Functional: PBE
Structure: relaxed

Cell lengths 3.7032, 3.7032, 11.3220 Å; angles 80.59, 80.59, 60.00 degrees
Last column: magnetic moment on the atom in μB.
Atoms (fractional coordinates):
Dy (0.5002, 0.5002, 0.4995)  0.12
Pr (0.0789, 0.0789, 0.7634)  0.04
Pr (0.2546, 0.2546, 0.2363)  0.02
In (0.6664, 0.6664, 0.0008)  0.00

Results
Magnetization, μB per cell: 0.3
Space group: R3m
Polymorph energy (0 for the lowest one), eV per formula unit: 0.64
E_tot, eV per atom: -4.333
ΔE_f, kJ/mol of formula units: -42

---

[10]
Compound: PrDyIn2
Source: Alexandria
Functional: PBE
Structure: relaxed

Cell lengths 3.8316, 3.8316, 7.6525 Å; angles 90.00, 90.00, 90.00 degrees
Atoms (fractional coordinates):
Pr (0.5000, 0.5000, 0.5000)
In (0.0000, 0.0000, 0.7650)
In (0.0000, 0.0000, 0.2350)
Dy (0.5000, 0.5000, 0.0000)

Results
Magnetization, μB per cell: 0.0
Space group: P4/mmm
E_tot, eV per atom: -4.201
ΔE_f, kJ/mol of formula units: -188

---

[11]
Compound: Pr4Dy5In
Source: Alexandria
Functional: PBE
Structure: relaxed

Cell lengths 3.6368, 3.6368, 24.5698 Å; angles 90.00, 90.00, 90.00 degrees
Atoms (fractional coordinates):
In (0.0000, 0.0000, 0.0000)
Pr (0.0000, 0.0000, 0.8128)
Pr (0.0000, 0.0000, 0.3964)
Pr (0.0000, 0.0000, 0.1872)
Pr (0.0000, 0.0000, 0.6036)
Dy (0.5000, 0.5000, 0.7071)
Dy (0.5000, 0.5000, 0.5000)
Dy (0.5000, 0.5000, 0.0834)
Dy (0.5000, 0.5000, 0.9166)
Dy (0.5000, 0.5000, 0.2929)

Results
Magnetization, μB per cell: 0.0
Space group: P4/mmm
Polymorph energy (0 for the lowest one), eV per formula unit: 0.00
E_tot, eV per atom: -4.570
ΔE_f, kJ/mol of formula units: -80

---

[12]
Compound: PrDyIn
Source: Alexandria
Functional: PBE
Structure: relaxed

Cell lengths 5.5110, 5.5110, 6.8209 Å; angles 90.00, 90.00, 119.99 degrees
Atoms (fractional coordinates):
Dy (0.3334, 0.1666, 0.2500)
Dy (0.6666, 0.8334, 0.7500)
In (0.6668, 0.8332, 0.2500)
In (0.3332, 0.1668, 0.7500)
Pr (0.0000, 0.5000, 0.5000)
Pr (0.0000, 0.5000, 0.0000)

Results
Magnetization, μB per cell: 0.0
Space group: P6_3/mmc
Polymorph energy (0 for the lowest one), eV per formula unit: 0.00
E_tot, eV per atom: -4.380
ΔE_f, kJ/mol of formula units: -98